MgNb4Rh5 | Alexandria via LeMat-Bulk | PBE | relaxed; space-group type = P4/mmm, No. 123; VASP energy = -8.308 eV/atom; formation energy from the elements = -444.7 meV/atom
1.0
2.915 0.000 0.000
0.000 2.915 0.000
0.000 0.000 18.687
Mg Nb Rh
1 4 5
Direct
0.000 0.000 0.000 Mg
0.000 0.000 0.193 Nb
0.000 0.000 0.398 Nb
0.000 0.000 0.602 Nb
0.000 0.000 0.807 Nb
0.500 0.500 0.096 Rh
0.500 0.500 0.295 Rh
0.500 0.500 0.500 Rh
0.500 0.500 0.705 Rh
0.500 0.500 0.904 Rh

MgNb2Rh | Alexandria via LeMat-Bulk | PBE | relaxed; space-group type = R-3m, No. 166; VASP energy = -7.056 eV/atom; offset from the most stable computed form = 0.030 eV per atom; formation energy from the elements = 215.6 meV/atom
1.0
1.432 0.827 10.321
-1.432 0.827 10.321
0.000 -1.654 10.321
Mg Nb Rh
1 2 1
Direct
0.000 0.000 0.000 Mg
0.094 0.094 0.094 Nb
0.906 0.906 0.906 Nb
0.500 0.500 0.500 Rh

Mg2NbRh2 | Alexandria via LeMat-Bulk | PBE | relaxed; space-group type = Cmmm, No. 65; VASP energy = -5.992 eV/atom; offset from the most stable computed form = 0.000 eV per atom; formation energy from the elements = -399.7 meV/atom
1.0
1.521 -9.679 0.000
1.521 9.679 0.000
0.000 0.000 3.016
Mg Nb Rh
2 1 2
Direct
0.176 0.824 0.000 Mg
0.824 0.176 0.000 Mg
0.000 0.000 0.000 Nb
0.411 0.589 0.500 Rh
0.589 0.411 0.500 Rh

Q: formation energy from the elements of number 2 (MgNb2Rh)?
A: 215.6 meV/atom